Below is a relaxed ThUNb crystal, with properties calculated at the PBE level.

a = 4.866 Å, b = 4.866 Å, c = 4.866 Å
α = 60.00°, β = 60.00°, γ = 60.00°
Site moments in Bohr magnetons follow the coordinates.
Element x y z (fractional)
1 Nb 0.000 0.000 0.000  -0.09
2 Th 0.250 0.250 0.250  0.12
3 U 0.750 0.750 0.750  2.15

Computed properties:
Energy relative to the lowest polymorph listed for this composition: 0.0 meV per atom
Raw total energy: -26.20 eV/f.u.
ΔH_f (0 K): 251 kJ/mol of formula units